Record 1
SrSm3Tc | PBE | relaxed

a b c (Å): 5.575 5.575 5.575
angles (deg): 90.00 90.00 90.00
Space group Pm-3m (No. 221)
Symmetry-distinct sites (fractional):
Sr 0.000 0.000 0.000 (multiplicity 1)
Sm 0.000 0.500 0.500 (multiplicity 3)
Tc 0.500 0.500 0.500 (multiplicity 1)

Results
The density comes out at 6.1 g cm⁻³. The formation energy is 46 kJ/mol of formula units.

***

Record 2
Ce2HRu | PBE | relaxed

a b c (Å): 3.7006 3.7006 19.4545
angles (deg): 90.00 90.00 120.00
Space group R3m (No. 160, hexagonal axes)
Symmetry-distinct sites (fractional):
Ce 0.0000 0.0000 0.0000 (multiplicity 3)
Ce 0.0000 0.0000 0.1838 (multiplicity 3)
H 0.0000 0.0000 0.5948 (multiplicity 3)
Ru 0.0000 0.0000 0.4244 (multiplicity 3)

Results
The density comes out at 8.3 g cm⁻³. The calculation puts the energy above the most stable polymorph in this dataset at 15 kJ/mol of formula units.

***

Number 1: magnetization 0.00 μB/f.u.. Number 2: magnetization 0.00 μB/f.u..